Here is a relaxed structure of SnTePBr2 from the Alexandria database. Energies are from PBE.

```
5
Lattice="5.036 0.000 0.000 0.000 5.036 0.000 0.000 0.000 5.613" Properties=species:S:1:pos:R:3 pbc="T T T"
Sn 0.000 0.000 0.000
Te 2.518 2.518 0.000
P 2.518 2.518 2.806
Br 0.000 2.518 2.806
Br 2.518 0.000 2.806
```

Results
- Formation energy (no corrections): 68 meV per atom
- Volume: 28.46 A^3/atom
- Total DFT energy (no corrections): -3.11 eV per atom
- ρ: 5.1 Mg/m³



Here is a relaxed structure of LiPmCo from the Alexandria database. Energies are from PBE.

```
6
Lattice="1.960 -8.640 0.000 1.960 8.640 0.000 0.000 0.000 3.908" Properties=species:S:1:pos:R:3 pbc="T T T"
Li 1.960 5.075 2.931
Li 1.960 -5.075 0.977
Pm 1.960 1.599 2.931
Pm 1.960 -1.599 0.977
Co 1.960 8.077 2.931
Co 1.960 -8.077 0.977
```

Results
- Volume: 22.06 A^3/atom
- Total DFT energy (no corrections): -4.63 eV per atom
- Offset from the most stable computed form: 0 meV/atom
- Energy of formation: -38 meV per atom
- ρ: 5.3 Mg/m³



Here is a relaxed structure of Pm2ZrRh from the Alexandria database. Energies are from PBE.

```
4
Lattice="3.552 0.000 0.000 0.000 3.552 0.000 0.000 0.000 7.956" Properties=species:S:1:pos:R:3 pbc="T T T"
Pm 0.000 0.000 1.695
Pm 0.000 0.000 6.261
Zr 1.776 1.776 3.978
Rh 1.776 1.776 0.000
```

Results
- Volume: 25.09 A^3/atom
- Total DFT energy (no corrections): -6.56 eV per atom
- Energy of formation: -208 meV per atom
- ρ: 8.0 Mg/m³



- Among the records above, which one has the highest volume?
  SnTePBr2



- Look up the volume of the second one.
  22.06 A^3/atom